--- A ---
# KNbSb2

An optimized crystal structure of KNbSb2 (GGA-PBE, Alexandria via LeMat-Bulk).

Calculated values
total magnetic moment = 0.000 Bohr magnetons per cell
crystal system = tetragonal
density of states at the Fermi level = 0.04 states/eV/atom

a b c (Å): 7.530 7.530 8.213
angles (deg): 62.71 62.71 90.00
Element x y z (fractional)
Sb  0.739  0.125  0.250
Sb  0.011  0.625  0.250
Sb  0.375  0.261  0.750
Sb  0.875  0.989  0.750
Nb  0.000  0.000  0.000
Nb  0.750  0.250  0.500
K  0.500  0.500  0.000
K  0.250  0.750  0.500


--- B ---
# KNbSb2

An optimized crystal structure of KNbSb2 (GGA-PBE, Alexandria via LeMat-Bulk).

Calculated values
total magnetic moment = 1.729 Bohr magnetons per cell
crystal system = cubic
density of states at the Fermi level = 0.46 states/eV/atom

a b c (Å): 5.213 5.213 5.213
angles (deg): 60.00 60.00 60.00
Each line ends with the local moment (μB).
Element x y z (fractional)
Sb  0.250  0.250  0.250  -0.05
Sb  0.750  0.750  0.750  -0.05
Nb  0.500  0.500  0.500  1.44
K  0.000  0.000  0.000  0.01


Out of the structures above, which one is the most stable? Solution: A.